# DyFe2B2 | the Alexandria database | PBE-GGA | optimized geometry
data_DyFe2B2
_space_group_name_H-M_alt 'P 1'
_space_group_IT_number 1
_space_group_name_Hall 'P 1'
_cell_length_a 5.343
_cell_length_b 5.343
_cell_length_c 5.343
_cell_angle_alpha 140.57
_cell_angle_beta 140.57
_cell_angle_gamma 56.98
loop_
_atom_site_label
_atom_site_type_symbol
_atom_site_fract_x
_atom_site_fract_y
_atom_site_fract_z
Dy1 Dy 0.000 0.000 0.000
Fe1 Fe 0.750 0.250 0.500
Fe2 Fe 0.250 0.750 0.500
B1 B 0.342 0.342 0.000
B2 B 0.658 0.658 0.000
# Total moment ... 1.32 μB per cell
# Crystal system ... tetragonal
# ΔE_f ... -2.192 eV per formula unit